The following is a DFT calculation (GGA-PBE) of an optimized crystal structure of NaIn3S.

Values from the calculation:
Raw total energy ... -13.07 eV per cell
Relative energy among the computed polymorphs ... 0.0 meV per atom

Cell lengths 5.5273, 5.5273, 5.5273 Å; angles 90.00, 90.00, 90.00 degrees
Space group Pm-3m (No. 221)
One atom of each set of equivalent atoms:
1 Na 0.0000 0.0000 0.0000 [1 per cell]
2 In 0.0000 0.5000 0.5000 [3 per cell]
3 S 0.5000 0.5000 0.5000 [1 per cell]